Record 1
## La6NdSm2Tm (PBE-GGA)

Data for a relaxed structure of La6NdSm2Tm.

Lattice parameters (Å, degrees): 9.9298 15.3314 9.2917 90.00 91.00 90.00
Space group C2/c (No. 15)
Asymmetric unit:
La  0.0738  0.1512  0.4098 x8
La  0.0747  0.3590  0.5973 x8
La  0.2457  0.2181  0.8186 x8
Nd  0.0000  0.0669  0.7500 x4
Sm  0.2494  0.4552  0.9346 x8
Tm  0.0000  0.4282  0.2500 x4

Results
For the energy of formation from the pure elements, the calculation gives 1.1 eV/f.u. The total moment is 0.0 μB per formula unit. The calculation puts the calculated volume at 35.358 Å³/atom.

Record 2
## La2NdSm3Tm6 (PBE-GGA)

Data for a relaxed structure of La2NdSm3Tm6.

Lattice parameters (Å, degrees): 6.2271 10.7813 11.7342 90.00 100.17 90.00
Space group C2/m (No. 12)
Asymmetric unit:
La  0.0000  0.1665  0.0000 x4
Nd  0.0000  0.5000  0.0000 x2
Sm  0.0000  0.0000  0.5000 x2
Sm  0.0000  0.3334  0.5000 x4
Tm  0.2480  0.5000  0.7471 x4
Tm  0.2490  0.1664  0.7472 x8

Results
For the energy of formation from the pure elements, the calculation gives 0.2 eV/f.u. The total moment is 0.0 μB per formula unit. The calculation puts the calculated volume at 32.309 Å³/atom.

Record 3
## La2NdSm4Tm (PBE-GGA)

Data for a relaxed structure of La2NdSm4Tm.

Lattice parameters (Å, degrees): 5.1506 5.1623 10.3489 90.00 90.00 90.00
Space group Pmmm (No. 47)
Asymmetric unit:
La  0.0000  0.0000  0.0000 x1
La  0.5000  0.5000  0.5000 x1
Nd  0.0000  0.0000  0.5000 x1
Sm  0.0000  0.5000  0.2473 x2
Sm  0.5000  0.0000  0.2477 x2
Tm  0.5000  0.5000  0.0000 x1

Results
For the energy of formation from the pure elements, the calculation gives 0.2 eV/f.u. The total moment is 0.0 μB per formula unit. The calculation puts the calculated volume at 34.396 Å³/atom.

Record 4
## LaNd4Sm2Tm (PBE-GGA)

Data for a relaxed structure of LaNd4Sm2Tm.

Lattice parameters (Å, degrees): 6.2960 3.6691 12.1331 90.00 100.22 90.00
Space group P2/m (No. 10)
Asymmetric unit:
La  0.0000  0.0000  0.0000 x1
Nd  0.2505  0.0000  0.7515 x2
Nd  0.2519  0.5000  0.2515 x2
Sm  0.0000  0.5000  0.5000 x1
Sm  0.5000  0.0000  0.5000 x1
Tm  0.5000  0.5000  0.0000 x1

Results
For the energy of formation from the pure elements, the calculation gives 0.1 eV/f.u. The total moment is 0.0 μB per formula unit. The calculation puts the calculated volume at 34.480 Å³/atom.

Record 5
## LaNdSm6Tm2 (PBE-GGA)

Data for a relaxed structure of LaNdSm6Tm2.

Lattice parameters (Å, degrees): 9.3650 15.1263 9.6712 90.00 96.87 90.00
Space group C2/c (No. 15)
Asymmetric unit:
La  0.0000  0.0939  0.2500 x4
Nd  0.0000  0.4642  0.7500 x4
Sm  0.0670  0.3259  0.4425 x8
Sm  0.0933  0.1108  0.6182 x8
Sm  0.2112  0.2719  0.8216 x8
Tm  0.2466  0.4513  0.0506 x8

Results
For the energy of formation from the pure elements, the calculation gives 1.2 eV/f.u. The total moment is 0.0 μB per formula unit. The calculation puts the calculated volume at 34.004 Å³/atom.

Record 6
## LaNd5SmTm2 (PBE-GGA)

Data for a relaxed structure of LaNd5SmTm2.

Lattice parameters (Å, degrees): 5.7304 20.4355 10.6807 90.00 90.00 90.00
Space group Cmc2_1 (No. 36)
Asymmetric unit:
La  0.0000  0.0839  0.0000 x4
Nd  0.0000  0.0229  0.2931 x4
Nd  0.0000  0.1120  0.5798 x4
Nd  0.0000  0.2045  0.2585 x4
Nd  0.0000  0.2196  0.8662 x4
Nd  0.0000  0.4836  0.5776 x4
Sm  0.0000  0.3010  0.5650 x4
Tm  0.0000  0.3836  0.8754 x4
Tm  0.0000  0.3874  0.2871 x4

Results
For the energy of formation from the pure elements, the calculation gives 1.3 eV/f.u. The total moment is 0.0 μB per formula unit. The calculation puts the calculated volume at 34.743 Å³/atom.

Record 7
## La3NdSm6Tm2 (PBE-GGA)

Data for a relaxed structure of La3NdSm6Tm2.

Lattice parameters (Å, degrees): 6.2981 10.9155 12.0916 90.00 100.05 90.00
Space group C2/m (No. 12)
Asymmetric unit:
La  0.0000  0.0000  0.0000 x2
La  0.0000  0.3328  0.0000 x4
Nd  0.0000  0.5000  0.5000 x2
Sm  0.2469  0.0000  0.7445 x4
Sm  0.2490  0.3327  0.7444 x8
Tm  0.0000  0.1668  0.5000 x4

Results
For the energy of formation from the pure elements, the calculation gives 0.3 eV/f.u. The total moment is 0.0 μB per formula unit. The calculation puts the calculated volume at 34.105 Å³/atom.

Record 8
## LaNdSm2Tm (PBE-GGA)

Data for a relaxed structure of LaNdSm2Tm.

Lattice parameters (Å, degrees): 8.3567 6.1341 7.0497 90.00 95.44 90.00
Space group P2/c (No. 13)
Asymmetric unit:
La  0.0000  0.0000  0.0000 x2
Nd  0.0000  0.4700  0.2500 x2
Sm  0.3332  0.4155  0.5848 x4
Tm  0.5000  0.0843  0.2500 x2

Results
For the energy of formation from the pure elements, the calculation gives 1.6 eV/f.u. The total moment is 0.0 μB per formula unit. The calculation puts the calculated volume at 35.974 Å³/atom.

Record 9
## LaNd5Sm2Tm (PBE-GGA)

Data for a relaxed structure of LaNd5Sm2Tm.

Lattice parameters (Å, degrees): 9.0233 9.0233 15.5629 90.00 90.00 90.00
Space group I4/mcm (No. 140)
Asymmetric unit:
La  0.0000  0.0000  0.2500 x4
Nd  0.0000  0.0000  0.0000 x4
Nd  0.2071  0.2929  0.1364 x16
Sm  0.1153  0.3847  0.5000 x8
Tm  0.0000  0.5000  0.2500 x4

Results
For the energy of formation from the pure elements, the calculation gives 2.5 eV/f.u. The total moment is 0.0 μB per formula unit. The calculation puts the calculated volume at 35.198 Å³/atom.

Record 10
## La2NdSm6Tm (PBE-GGA)

Data for a relaxed structure of La2NdSm6Tm.

Lattice parameters (Å, degrees): 9.1741 15.2211 10.0140 90.00 99.73 90.00
Space group C2/c (No. 15)
Asymmetric unit:
La  0.2439  0.0483  0.0417 x8
Nd  0.0000  0.0129  0.7500 x4
Sm  0.0705  0.1912  0.4438 x8
Sm  0.0975  0.3956  0.6195 x8
Sm  0.2028  0.2202  0.8112 x8
Tm  0.0000  0.4058  0.2500 x4

Results
For the energy of formation from the pure elements, the calculation gives 1.1 eV/f.u. The total moment is 0.0 μB per formula unit. The calculation puts the calculated volume at 34.456 Å³/atom.

Record 11
## La5NdSm2Tm (PBE-GGA)

Data for a relaxed structure of La5NdSm2Tm.

Lattice parameters (Å, degrees): 9.2974 9.2974 14.9224 90.00 90.00 90.00
Space group I4/mcm (No. 140)
Asymmetric unit:
La  0.0000  0.0000  0.0000 x4
La  0.2075  0.2925  0.1388 x16
Nd  0.0000  0.0000  0.2500 x4
Sm  0.1117  0.3883  0.5000 x8
Tm  0.0000  0.5000  0.2500 x4

Results
For the energy of formation from the pure elements, the calculation gives 2.5 eV/f.u. The total moment is 0.0 μB per formula unit. The calculation puts the calculated volume at 35.831 Å³/atom.

Record 12
## La2NdSmTm (PBE-GGA)

Data for a relaxed structure of La2NdSmTm.

Lattice parameters (Å, degrees): 6.4116 5.8819 9.8138 90.00 108.94 90.00
Space group P2_1/m (No. 11)
Asymmetric unit:
La  0.0366  0.2500  0.3993 x2
La  0.2324  0.2500  0.8043 x2
Nd  0.3659  0.7500  0.3978 x2
Sm  0.4296  0.2500  0.1935 x2
Tm  0.1633  0.7500  0.0005 x2

Results
For the energy of formation from the pure elements, the calculation gives 0.2 eV/f.u. The total moment is 0.0 μB per formula unit. The calculation puts the calculated volume at 35.007 Å³/atom.